A plane-wave DFT calculation with PBE was carried out for crystalline Pm10NdHo4 at its relaxed geometry.

Geometry as POSCAR:
```
Pm10NdHo4
1.0
6.203 0.000 2.801
3.101 9.012 1.400
-0.607 0.000 9.614
Pm Nd Ho
10 1 4
direct
0.250 0.500 0.500
0.627 0.417 0.839
0.956 0.161 0.417
0.535 0.839 0.583
0.882 0.583 0.161
0.373 0.583 0.161
0.750 0.500 0.500
0.118 0.417 0.839
0.465 0.161 0.417
0.044 0.839 0.583
0.000 0.000 0.000
0.433 0.891 0.243
0.676 0.757 0.891
0.324 0.243 0.109
0.567 0.109 0.757
```

Results
**Energy of formation**: 0.527 eV/atom
**Space group**: I4/m, No. 87
**Total magnetization**: 0.00 μB/f.u.
**E**: -4.179 eV/atom


A plane-wave DFT calculation with PBE was carried out for crystalline Co2RhW at its relaxed geometry.

Geometry as POSCAR:
```
Co2RhW
1.0
-2.441 7.024 -4.391
-3.984 5.190 -5.636
-4.831 6.332 -3.339
Co Rh W
2 1 1
direct
0.995 0.995 0.995
0.254 0.254 0.254
0.502 0.502 0.502
0.749 0.749 0.749
```

Results
**Energy of formation**: 0.144 eV/atom
**Space group**: R3m, No. 160
**Total magnetization**: 3.27 μB/f.u.
**E**: -8.485 eV/atom


Repeat the first record exactly.
A plane-wave DFT calculation with PBE was carried out for crystalline Pm10NdHo4 at its relaxed geometry.

Geometry as POSCAR:
```
Pm10NdHo4
1.0
6.203 0.000 2.801
3.101 9.012 1.400
-0.607 0.000 9.614
Pm Nd Ho
10 1 4
direct
0.250 0.500 0.500
0.627 0.417 0.839
0.956 0.161 0.417
0.535 0.839 0.583
0.882 0.583 0.161
0.373 0.583 0.161
0.750 0.500 0.500
0.118 0.417 0.839
0.465 0.161 0.417
0.044 0.839 0.583
0.000 0.000 0.000
0.433 0.891 0.243
0.676 0.757 0.891
0.324 0.243 0.109
0.567 0.109 0.757
```

Results
**Energy of formation**: 0.527 eV/atom
**Space group**: I4/m, No. 87
**Total magnetization**: 0.00 μB/f.u.
**E**: -4.179 eV/atom


- What is the formula in the first record?
  Pm10NdHo4


- What is the total magnetization in the second record?
  3.27 μB/f.u.


- Among the records above, which one has the lowest E?
  Co2RhW